[1]
Material: PmPr5Tm3
Method: DFT, PBE
State: relaxed

Cell and atoms, written as POSCAR:
```
PmPr5Tm3
1.0
-6.404 -5.993 3.032
6.183 -3.625 5.896
-1.951 9.594 0.640
Pm Pr Tm
2 10 6
Direct
0.750 0.250 0.500
0.250 0.750 0.500
0.068 0.568 0.735
0.668 0.168 0.735
0.168 0.068 0.735
0.568 0.668 0.735
0.932 0.432 0.265
0.332 0.832 0.265
0.832 0.932 0.265
0.432 0.332 0.265
0.500 0.500 0.000
0.000 0.000 0.000
0.610 0.110 0.000
0.390 0.890 0.000
0.890 0.610 0.000
0.110 0.390 0.000
0.250 0.250 0.500
0.750 0.750 0.500
```

Properties
E_tot: -4.374 eV per atom
formation enthalpy at 0 K: 260 kJ/mol of formula units
crystal system: tetragonal

[2]
Material: Pm3Pr4Tm3
Method: DFT, PBE
State: relaxed

Cell and atoms, written as POSCAR:
```
Pm3Pr4Tm3
1.0
3.853 0.000 0.000
0.000 9.431 -0.018
0.000 0.065 9.431
Pm Pr Tm
3 4 3
Direct
0.000 0.504 0.003
0.000 0.997 0.496
0.500 0.168 0.832
0.000 0.630 0.370
0.000 0.371 0.629
0.000 0.867 0.870
0.000 0.130 0.133
0.500 0.831 0.169
0.500 0.332 0.331
0.500 0.669 0.668
```

Properties
E_tot: -4.580 eV per atom
formation enthalpy at 0 K: 95 kJ/mol of formula units
crystal system: orthorhombic

What is the E_tot in the first record? -4.374 eV per atom